Entry 1:
RbNaPt2 (SCAN, single point on PBEsol structure); calculated formation energy = 0.098 eV per atom; E = -329.9 eV per cell; size of the total moment = 0.00 Bohr magnetons per cell
1.0
-2.4644 2.4644 9.8192
2.4644 -2.4644 9.8192
2.4644 2.4644 -9.8192
Rb Na Pt
2 2 4
direct
0.3750 0.6250 0.7500
0.6250 0.3750 0.2500
0.1250 0.8750 0.2500
0.8750 0.1250 0.7500
0.0000 0.0000 0.0000
0.0000 0.0000 0.5000
0.0000 0.5000 0.0000
0.5000 0.0000 0.5000

Entry 2:
Hg2BiPb2 (SCAN, single point on PBEsol structure); calculated formation energy = 0.083 eV per atom; E = -732.1 eV per cell; size of the total moment = 0.00 Bohr magnetons per cell; energy above the lowest structure with this stoichiometry = 28 meV/atom
1.0
9.1144 0.0000 0.0000
0.0000 9.1144 0.0000
0.0000 0.0000 3.3681
Hg Bi Pb
4 2 4
direct
0.1181 0.3819 0.0000
0.3819 0.8819 0.0000
0.6181 0.1181 0.0000
0.8819 0.6181 0.0000
0.0000 0.0000 0.5000
0.5000 0.5000 0.5000
0.1817 0.6817 0.5000
0.3183 0.1817 0.5000
0.6817 0.8183 0.5000
0.8183 0.3183 0.5000

Entry 3:
Cs3Bi2I9 (SCAN, single point on PBEsol structure); E = -1231.0 eV per cell; size of the total moment = 0.00 Bohr magnetons per cell
1.0
8.3296 0.0000 0.0000
-4.1648 7.2136 0.0000
0.0000 0.0000 21.2362
Cs Bi I
6 4 18
direct
0.0000 0.0000 0.2500
0.0000 0.0000 0.7500
0.3333 0.6667 0.0698
0.3333 0.6667 0.4302
0.6667 0.3333 0.5698
0.6667 0.3333 0.9302
0.3333 0.6667 0.6563
0.3333 0.6667 0.8437
0.6667 0.3333 0.1563
0.6667 0.3333 0.3437
0.0128 0.5064 0.2500
0.1611 0.3222 0.5811
0.1611 0.3222 0.9189
0.1611 0.8389 0.5811
0.1611 0.8389 0.9189
0.3222 0.1611 0.0811
0.3222 0.1611 0.4189
0.4936 0.5064 0.2500
0.4936 0.9872 0.2500
0.5064 0.0128 0.7500
0.5064 0.4936 0.7500
0.6778 0.8389 0.5811
0.6778 0.8389 0.9189
0.8389 0.1611 0.0811
0.8389 0.1611 0.4189
0.8389 0.6778 0.0811
0.8389 0.6778 0.4189
0.9872 0.4936 0.7500

Entry 4:
Rb3Pb (SCAN, single point on PBEsol structure); calculated formation energy = -0.115 eV per atom; E = -138.5 eV per cell; size of the total moment = 1.06 Bohr magnetons per cell
1.0
0.0000 4.5834 4.5834
4.5834 0.0000 4.5834
4.5834 4.5834 0.0000
Rb Pb
3 1
direct
0.0000 0.0000 0.0000
0.2500 0.2500 0.2500
0.7500 0.7500 0.7500
0.5000 0.5000 0.5000

Entry 5:
NiHg2N2 (SCAN, single point on PBEsol structure); E = -168.9 eV per cell; size of the total moment = 0.00 Bohr magnetons per cell
1.0
-2.8947 2.8947 2.4987
2.8947 -2.8947 2.4987
2.8947 2.8947 -2.4987
Ni Hg N
1 2 2
direct
0.0000 0.0000 0.0000
0.2500 0.7500 0.5000
0.7500 0.2500 0.5000
0.3821 0.3821 0.0000
0.6179 0.6179 0.0000

Entry 6:
MnTe2W (SCAN, single point on PBEsol structure); E = -160.7 eV per cell; size of the total moment = 4.78 Bohr magnetons per cell; energy above the lowest structure with this stoichiometry = 294 meV/atom
1.0
0.0000 3.3439 3.3439
3.3439 0.0000 3.3439
3.3439 3.3439 0.0000
Mn Te W
1 2 1
direct
0.0000 0.0000 0.0000
0.2500 0.2500 0.2500
0.7500 0.7500 0.7500
0.5000 0.5000 0.5000

> The highest E belongs to which entry?

Rb3Pb